A plane-wave DFT calculation with SCAN was carried out for Sr3TeW at its PBEsol-relaxed geometry.

The spin magnetization comes out at 6.646 μB/f.u. Its space group is Pm-3m. Its formation energy without anion corrections is 0.67 eV/atom. Its density of states at the Fermi level is 5.2 states/eV per cell.

Cell lengths 6.0733, 6.0733, 6.0733 Å; angles 90.00, 90.00, 90.00 degrees
Last column: nearest neighbours and their distance in Å.
Sites, in units of the cell vectors:
Sr: 0.0000 0.0000 0.5000  2 Te 3.04
Sr: 0.0000 0.5000 0.0000  2 Te 3.04
Sr: 0.5000 0.0000 0.0000  2 Te 3.04
Te: 0.0000 0.0000 0.0000  6 Sr 3.04
W: 0.5000 0.5000 0.5000  12 Sr 4.29